Computed, not measured: an optimized crystal structure of FeGeMoRh at the PBE level of DFT.

DOS(E_F) = 14.4 states/eV per cell
mass density = 9.70 g/cm³
ΔE_f = -0.1197 eV/atom

```
data_FeGeMoRh
_symmetry_space_group_name_H-M 'F -4 3 m'
_symmetry_Int_Tables_number 216
_symmetry_space_group_name_Hall 'F -4 2 3'
_cell_length_a 6.0744
_cell_length_b 6.0744
_cell_length_c 6.0744
_cell_angle_alpha 90.00
_cell_angle_beta 90.00
_cell_angle_gamma 90.00
loop_
_atom_site_label
_atom_site_type_symbol
_atom_site_fract_x
_atom_site_fract_y
_atom_site_fract_z
Fe1 Fe 0.0000 0.0000 0.0000
Ge1 Ge 0.0000 0.0000 0.5000
Mo1 Mo 0.2500 0.2500 0.2500
Rh1 Rh 0.2500 0.2500 0.7500
```

***

Computed, not measured: an optimized crystal structure of FeGeMoRu at the PBE level of DFT.

DOS(E_F) = 12.8 states/eV per cell
mass density = 9.72 g/cm³
ΔE_f = -0.0473 eV/atom

```
data_FeGeMoRu
_symmetry_space_group_name_H-M 'F -4 3 m'
_symmetry_Int_Tables_number 216
_symmetry_space_group_name_Hall 'F -4 2 3'
_cell_length_a 6.0583
_cell_length_b 6.0583
_cell_length_c 6.0583
_cell_angle_alpha 90.00
_cell_angle_beta 90.00
_cell_angle_gamma 90.00
loop_
_atom_site_label
_atom_site_type_symbol
_atom_site_fract_x
_atom_site_fract_y
_atom_site_fract_z
Fe1 Fe 0.0000 0.0000 0.0000
Ge1 Ge 0.0000 0.0000 0.5000
Mo1 Mo 0.2500 0.2500 0.2500
Ru1 Ru 0.2500 0.2500 0.7500
```

***

Computed, not measured: an optimized crystal structure of Fe2SnGeMo at the PBE level of DFT.

DOS(E_F) = 3.6 states/eV per cell
mass density = 7.46 g/cm³
ΔE_f = 0.7728 eV/atom

```
data_Fe2SnGeMo
_symmetry_space_group_name_H-M 'P 4/m m m'
_symmetry_Int_Tables_number 123
_symmetry_space_group_name_Hall '-P 4 2'
_cell_length_a 4.3540
_cell_length_b 4.3540
_cell_length_c 4.6839
_cell_angle_alpha 90.00
_cell_angle_beta 90.00
_cell_angle_gamma 90.00
loop_
_atom_site_label
_atom_site_type_symbol
_atom_site_fract_x
_atom_site_fract_y
_atom_site_fract_z
Fe1 Fe 0.0000 0.5000 0.0000
Sn1 Sn 0.0000 0.0000 0.5000
Ge1 Ge 0.5000 0.5000 0.0000
Mo1 Mo 0.5000 0.5000 0.5000
```

***

Computed, not measured: an optimized crystal structure of ThFeGe2Mo at the PBE level of DFT.

DOS(E_F) = 8.5 states/eV per cell
mass density = 9.41 g/cm³
ΔE_f = -0.3495 eV/atom

```
data_ThFeGe2Mo
_symmetry_space_group_name_H-M 'I -4 m 2'
_symmetry_Int_Tables_number 119
_symmetry_space_group_name_Hall 'I -4 -2'
_cell_length_a 4.0905
_cell_length_b 4.0905
_cell_length_c 11.1617
_cell_angle_alpha 90.00
_cell_angle_beta 90.00
_cell_angle_gamma 90.00
loop_
_atom_site_label
_atom_site_type_symbol
_atom_site_fract_x
_atom_site_fract_y
_atom_site_fract_z
Th1 Th 0.0000 0.0000 0.0000
Fe1 Fe 0.0000 0.5000 0.2500
Ge1 Ge 0.0000 0.0000 0.3814
Mo1 Mo 0.0000 0.5000 0.7500
```

***

Computed, not measured: an optimized crystal structure of TiFe2GeMo at the PBE level of DFT.

DOS(E_F) = 5.0 states/eV per cell
mass density = 5.84 g/cm³
ΔE_f = 1.0962 eV/atom

```
data_TiFe2GeMo
_symmetry_space_group_name_H-M 'P 4/m m m'
_symmetry_Int_Tables_number 123
_symmetry_space_group_name_Hall '-P 4 2'
_cell_length_a 4.4195
_cell_length_b 4.4195
_cell_length_c 4.7729
_cell_angle_alpha 90.00
_cell_angle_beta 90.00
_cell_angle_gamma 90.00
loop_
_atom_site_label
_atom_site_type_symbol
_atom_site_fract_x
_atom_site_fract_y
_atom_site_fract_z
Ti1 Ti 0.0000 0.0000 0.0000
Fe1 Fe 0.0000 0.5000 0.5000
Ge1 Ge 0.5000 0.5000 0.0000
Mo1 Mo 0.5000 0.5000 0.5000
```

***

Computed, not measured: an optimized crystal structure of VFeGeMo at the PBE level of DFT.

DOS(E_F) = 9.9 states/eV per cell
mass density = 8.52 g/cm³
ΔE_f = -0.0768 eV/atom

```
data_VFeGeMo
_symmetry_space_group_name_H-M 'F -4 3 m'
_symmetry_Int_Tables_number 216
_symmetry_space_group_name_Hall 'F -4 2 3'
_cell_length_a 5.9882
_cell_length_b 5.9882
_cell_length_c 5.9882
_cell_angle_alpha 90.00
_cell_angle_beta 90.00
_cell_angle_gamma 90.00
loop_
_atom_site_label
_atom_site_type_symbol
_atom_site_fract_x
_atom_site_fract_y
_atom_site_fract_z
V1 V 0.0000 0.0000 0.0000
Fe1 Fe 0.2500 0.2500 0.2500
Ge1 Ge 0.0000 0.0000 0.5000
Mo1 Mo 0.2500 0.2500 0.7500
```